First-principles (PBE) data for a relaxed PmEuPuSn crystal, as listed in the Alexandria database.

Unit cell a=5.5243 b=5.5243 c=5.5243 alpha=60.00 beta=60.00 gamma=60.00
Fractional positions:
Sn1 0.2500 0.2500 0.2500
Eu1 0.5000 0.5000 0.5000
Pm1 0.0000 0.0000 0.0000
Pu1 0.7500 0.7500 0.7500

Calculated values
The calculation puts the total energy at -33.98 eV/cell. The value obtained for the volume is 119.2 Å³/cell. As for the space group: No. 216.